Computed, not measured: crystalline CdGa3Ag3 at its relaxed geometry at the GGA-PBE level of DFT.

The structure in CIF format:
```
data_CdGa3Ag3
_cell_length_a 7.270
_cell_length_b 7.270
_cell_length_c 7.270
_cell_angle_alpha 90.00
_cell_angle_beta 90.00
_cell_angle_gamma 90.00
_symmetry_space_group_name_H-M 'P 1'
_symmetry_Int_Tables_number 1
loop_
_symmetry_equiv_pos_as_xyz
'x,y,z'
loop_
_atom_site_label
_atom_site_type_symbol
_atom_site_fract_x
_atom_site_fract_y
_atom_site_fract_z
Cd1 Cd 0.000 0.000 0.000
Cd2 Cd 0.500 0.500 0.500
Ga1 Ga 0.000 0.250 0.500
Ga2 Ga 0.000 0.750 0.500
Ga3 Ga 0.250 0.500 0.000
Ga4 Ga 0.500 0.000 0.250
Ga5 Ga 0.500 0.000 0.750
Ga6 Ga 0.750 0.500 0.000
Ag1 Ag 0.000 0.500 0.250
Ag2 Ag 0.000 0.500 0.750
Ag3 Ag 0.250 0.000 0.500
Ag4 Ag 0.500 0.250 0.000
Ag5 Ag 0.500 0.750 0.000
Ag6 Ag 0.750 0.000 0.500
```

DFT formation energy, meV/atom: 419
V, Å³ per atom: 27.45
Total magnetization, μB/f.u.: 0.00
Symmetry: No. 223
Crystal system: cubic

Computed, not measured: crystalline Ca3SbP at its relaxed geometry at the GGA-PBE level of DFT.

The structure in CIF format:
```
data_Ca3SbP
_cell_length_a 7.786
_cell_length_b 7.786
_cell_length_c 7.858
_cell_angle_alpha 90.00
_cell_angle_beta 90.00
_cell_angle_gamma 138.48
_symmetry_space_group_name_H-M 'P 1'
_symmetry_Int_Tables_number 1
loop_
_symmetry_equiv_pos_as_xyz
'x,y,z'
loop_
_atom_site_label
_atom_site_type_symbol
_atom_site_fract_x
_atom_site_fract_y
_atom_site_fract_z
Ca1 Ca 0.025 0.975 0.750
Ca2 Ca 0.359 0.641 0.525
Ca3 Ca 0.359 0.641 0.975
Ca4 Ca 0.641 0.359 0.025
Ca5 Ca 0.641 0.359 0.475
Ca6 Ca 0.975 0.025 0.250
Sb1 Sb 0.190 0.810 0.250
Sb2 Sb 0.810 0.190 0.750
P1 P 0.481 0.519 0.250
P2 P 0.519 0.481 0.750
```

V, Å³ per atom: 31.58
Total magnetization, μB/f.u.: 0.00
Formation energy without anion corrections, eV/atom: -0.97
Symmetry: No. 63
Crystal system: orthorhombic

Computed, not measured: crystalline Rb3Ce2PuSe6 at its relaxed geometry at the GGA-PBE level of DFT.

The structure in CIF format:
```
data_Rb3Ce2PuSe6
_cell_length_a 7.587
_cell_length_b 7.587
_cell_length_c 8.363
_cell_angle_alpha 98.69
_cell_angle_beta 98.69
_cell_angle_gamma 120.00
_symmetry_space_group_name_H-M 'P 1'
_symmetry_Int_Tables_number 1
loop_
_symmetry_equiv_pos_as_xyz
'x,y,z'
loop_
_atom_site_label
_atom_site_type_symbol
_atom_site_fract_x
_atom_site_fract_y
_atom_site_fract_z
Rb1 Rb 0.000 0.000 0.000
Rb2 Rb 0.333 0.667 0.000
Rb3 Rb 0.667 0.333 0.000
Ce1 Ce 0.167 0.833 0.500
Ce2 Ce 0.833 0.167 0.500
Pu1 Pu 0.500 0.500 0.500
Se1 Se 0.101 0.434 0.302
Se2 Se 0.233 0.233 0.698
Se3 Se 0.434 0.101 0.302
Se4 Se 0.566 0.899 0.698
Se5 Se 0.767 0.767 0.302
Se6 Se 0.899 0.566 0.698
```

V, Å³ per atom: 33.11
Total magnetization, μB/f.u.: 7.00
Formation energy without anion corrections, eV/atom: -1.60
Symmetry: No. 12
Crystal system: monoclinic

Computed, not measured: crystalline ScUCl6 at its relaxed geometry at the GGA-PBE level of DFT.

The structure in CIF format:
```
data_ScUCl6
_cell_length_a 7.001
_cell_length_b 7.001
_cell_length_c 6.531
_cell_angle_alpha 97.64
_cell_angle_beta 97.64
_cell_angle_gamma 124.19
_symmetry_space_group_name_H-M 'P 1'
_symmetry_Int_Tables_number 1
loop_
_symmetry_equiv_pos_as_xyz
'x,y,z'
loop_
_atom_site_label
_atom_site_type_symbol
_atom_site_fract_x
_atom_site_fract_y
_atom_site_fract_z
Sc1 Sc 0.000 0.000 0.000
U1 U 0.500 0.500 0.500
Cl1 Cl 0.088 0.372 0.234
Cl2 Cl 0.243 0.243 0.762
Cl3 Cl 0.372 0.088 0.234
Cl4 Cl 0.628 0.912 0.766
Cl5 Cl 0.757 0.757 0.238
Cl6 Cl 0.912 0.628 0.766
```

V, Å³ per atom: 31.73
Total magnetization, μB/f.u.: 3.00
Formation energy without anion corrections, eV/atom: -1.86
Symmetry: No. 12
Crystal system: monoclinic

Computed, not measured: crystalline TcGe2Ir at its relaxed geometry at the GGA-PBE level of DFT.

The structure in CIF format:
```
data_TcGe2Ir
_cell_length_a 6.667
_cell_length_b 6.667
_cell_length_c 6.667
_cell_angle_alpha 129.51
_cell_angle_beta 129.51
_cell_angle_gamma 74.20
_symmetry_space_group_name_H-M 'P 1'
_symmetry_Int_Tables_number 1
loop_
_symmetry_equiv_pos_as_xyz
'x,y,z'
loop_
_atom_site_label
_atom_site_type_symbol
_atom_site_fract_x
_atom_site_fract_y
_atom_site_fract_z
Tc1 Tc 0.000 0.000 0.000
Tc2 Tc 0.750 0.250 0.500
Ge1 Ge 0.131 0.625 0.006
Ge2 Ge 0.375 0.381 0.506
Ge3 Ge 0.619 0.125 0.994
Ge4 Ge 0.875 0.869 0.494
Ir1 Ir 0.250 0.750 0.500
Ir2 Ir 0.500 0.500 0.000
```

DFT formation energy, meV/atom: 583
V, Å³ per atom: 21.49
Total magnetization, μB/f.u.: 0.40
Symmetry: No. 122
Crystal system: tetragonal

Computed, not measured: crystalline ZrIrPb2 at its relaxed geometry at the GGA-PBE level of DFT.

The structure in CIF format:
```
data_ZrIrPb2
_cell_length_a 5.611
_cell_length_b 5.611
_cell_length_c 5.611
_cell_angle_alpha 134.99
_cell_angle_beta 134.99
_cell_angle_gamma 65.55
_symmetry_space_group_name_H-M 'P 1'
_symmetry_Int_Tables_number 1
loop_
_symmetry_equiv_pos_as_xyz
'x,y,z'
loop_
_atom_site_label
_atom_site_type_symbol
_atom_site_fract_x
_atom_site_fract_y
_atom_site_fract_z
Zr1 Zr 0.000 0.000 0.000
Ir1 Ir 0.750 0.250 0.500
Pb1 Pb 0.250 0.750 0.500
Pb2 Pb 0.500 0.500 0.000
```

DFT formation energy, meV/atom: 102
V, Å³ per atom: 21.76
Total magnetization, μB/f.u.: 0.00
Symmetry: No. 119
Crystal system: tetragonal

Which formula does entry 5 have?
TcGe2Ir

V of number 1 (CdGa3Ag3)?
27.45 Å³ per atom